Below is a geometry-optimized Na3La3CoO8 structure, with properties calculated at the PBE with a Hubbard U level.

final energy = -6.432 eV per atom
size of the total moment = 0.073 μB/atom
calculated volume = 15.7 Å³ per atom

abc: 6.8465 6.8465 6.8465
angles: 61.75 61.75 61.75
Last column: nearest neighbours and their distance in Å.
Fractional coordinates of all 15 atoms:
Na 0.0000 0.5000 0.5000  6 O 2.53-2.54
Na 0.5000 0.0000 0.5000  6 O 2.53-2.54
Na 0.5000 0.5000 0.0000  6 O 2.53-2.54
La 0.0000 0.0000 0.5000  6 O 2.37-2.46
La 0.0000 0.5000 0.0000  6 O 2.37-2.46
La 0.5000 0.0000 0.0000  6 O 2.37-2.46
Co 0.5000 0.5000 0.5000  6 O 2.01
O 0.2405 0.2405 0.2405  3 La 2.37, 3 Na 2.54
O 0.2852 0.7048 0.7048  1 Co 2.01
O 0.2952 0.2952 0.7148  1 Co 2.01
O 0.2952 0.7148 0.2952  1 Co 2.01
O 0.7048 0.2852 0.7048  1 Co 2.01
O 0.7048 0.7048 0.2852  1 Co 2.01
O 0.7148 0.2952 0.2952  1 Co 2.01
O 0.7595 0.7595 0.7595  3 La 2.37, 3 Na 2.54